Entry from Alexandria: a relaxed structure of Pu2GeF2 (PBE).

Cell lengths 3.7006, 3.7006, 6.7421 Å; angles 90.00, 90.00, 90.00 degrees
With the nearest neighbours (Å) after each atom.
Fractional coordinates of all 5 atoms:
1 Pu 0.5000 0.5000 0.7527  4 F 2.52
2 Pu 0.5000 0.5000 0.2473  4 F 2.52
3 Ge 0.0000 0.0000 0.0000  8 Pu 3.10
4 F 0.5000 0.0000 0.5000  4 Pu 2.52, 4 F 2.62
5 F 0.0000 0.5000 0.5000  4 Pu 2.52, 4 F 2.62

Results
The magnetization comes out at 2.116 μB per atom. Its energy is -9.4062 eV/atom. Its density of states at the Fermi level is 13.23 states/eV/f.u. Its symmetry is P4/mmm, No. 123.



Entry from Alexandria: a relaxed structure of Pu2GeF (PBE).

Cell lengths 4.2049, 4.2049, 5.2842 Å; angles 66.55, 66.55, 60.00 degrees
With the nearest neighbours (Å) after each atom.
Fractional coordinates of all 4 atoms:
1 Ge 0.0000 0.0000 0.0000  8 Pu 2.80-3.08
2 F 0.5000 0.5000 0.5000  6 Pu 2.47
3 Pu 0.8009 0.8009 0.5973  3 F 2.47, 3 Pu 2.59
4 Pu 0.1991 0.1991 0.4027  3 F 2.47, 3 Pu 2.59

Results
The magnetization comes out at 0.212 μB per atom. Its energy is -9.1727 eV/atom. Its density of states at the Fermi level is 7.79 states/eV/f.u. The value obtained for the energy above the most stable polymorph in this dataset is 838.2 meV/atom. Its symmetry is R-3m, No. 166.



Entry from Alexandria: a relaxed structure of Pu2GeF8 (PBE).

Cell lengths 4.4801, 6.8520, 6.8520 Å; angles 113.40, 95.78, 95.78 degrees
With the nearest neighbours (Å) after each atom.
Fractional coordinates of all 11 atoms:
1 Ge 0.8774 0.1003 0.1003  3 F 1.95-1.96
2 F 0.6320 0.3097 0.0684  1 Ge 1.96
3 F 0.6320 0.0684 0.3097  1 Ge 1.96
4 F 0.1601 0.3315 0.3315  1 Ge 1.95
5 F 0.0113 0.2917 0.7400  2 Pu 2.30
6 F 0.0113 0.7400 0.2917  2 Pu 2.30
7 F 0.7045 0.5766 0.5766  2 Pu 2.27
8 F 0.4780 0.9710 0.6398  2 Pu 2.30-2.31
9 F 0.4780 0.6398 0.9710  2 Pu 2.30-2.31
10 Pu 0.5077 0.6824 0.3225  5 F 2.27-2.31
11 Pu 0.5077 0.3225 0.6824  5 F 2.27-2.31

Results
The magnetization comes out at 0.909 μB per atom. Its energy is -7.5503 eV/atom. Its density of states at the Fermi level is 17.93 states/eV/f.u. Its symmetry is Cm, No. 8.



Entry from Alexandria: a relaxed structure of Pu2GeF (PBE).

Cell lengths 3.2125, 3.2125, 7.7097 Å; angles 90.00, 90.00, 90.00 degrees
With the nearest neighbours (Å) after each atom.
Fractional coordinates of all 4 atoms:
1 Ge 0.5000 0.5000 0.5000  8 Pu 3.03, 4 Ge 3.21
2 F 0.5000 0.5000 0.0000  8 Pu 2.93, 4 F 3.21
3 Pu 0.0000 0.0000 0.7603  4 F 2.93, 4 Ge 3.03, 4 Pu 3.21
4 Pu 0.0000 0.0000 0.2397  4 F 2.93, 4 Ge 3.03, 4 Pu 3.21

Results
The magnetization comes out at 3.055 μB per atom. Its energy is -9.8841 eV/atom. Its density of states at the Fermi level is 11.77 states/eV/f.u. The value obtained for the energy above the most stable polymorph in this dataset is 126.8 meV/atom. Its symmetry is P4/mmm, No. 123.



Entry from Alexandria: a relaxed structure of PuGeF2 (PBE).

Cell lengths 3.1711, 3.1711, 8.7988 Å; angles 79.62, 79.62, 60.00 degrees
With the nearest neighbours (Å) after each atom.
Fractional coordinates of all 4 atoms:
1 Ge 0.5000 0.5000 0.5000  6 F 2.80
2 F 0.0848 0.0848 0.7455  1 Pu 2.19
3 F 0.9152 0.9152 0.2545  1 Pu 2.19
4 Pu 0.0000 0.0000 0.0000  2 F 2.19

Results
The magnetization comes out at 1.302 μB per atom. Its energy is -7.1425 eV/atom. Its density of states at the Fermi level is 5.88 states/eV/f.u. Its symmetry is R-3m, No. 166.



Entry from Alexandria: a relaxed structure of Pu2GeF (PBE).

Cell lengths 5.8831, 5.8831, 8.2114 Å; angles 90.00, 90.00, 120.00 degrees
With the nearest neighbours (Å) after each atom.
Fractional coordinates of all 12 atoms:
1 Pu 0.8000 0.2000 0.0000  2 F 2.45-2.46
2 Pu 0.4000 0.2000 0.6667  2 F 2.45-2.46
3 Pu 0.8000 0.6000 0.3334  2 F 2.45-2.46
4 Pu 0.2000 0.8000 0.0000  2 F 2.45-2.46
5 Pu 0.2000 0.4000 0.3333  2 F 2.45-2.46
6 Pu 0.6000 0.8000 0.6666  2 F 2.45-2.46
7 Ge 0.5000 0.5000 0.0000  6 Pu 3.06-3.15, 4 F 3.24
8 Ge 0.0000 0.5000 0.6667  6 Pu 3.06-3.15, 4 F 3.24
9 Ge 0.5000 0.0000 0.3333  6 Pu 3.06-3.15, 4 F 3.24
10 F 0.0001 0.0001 0.5000  4 Pu 2.45-2.46, 2 F 2.74
11 F 0.0000 0.9999 0.1667  4 Pu 2.45-2.46, 2 F 2.74
12 F 0.9999 0.0000 0.8333  4 Pu 2.45-2.46, 2 F 2.74

Results
The magnetization comes out at 2.622 μB per atom. Its energy is -10.0109 eV/atom. Its density of states at the Fermi level is 13.75 states/eV/f.u. The value obtained for the energy above the most stable polymorph in this dataset is 0.0 meV/atom. Its symmetry is P6_422, No. 181.



Number 1: formation energy (no corrections) -2.0014 eV per atom. Number 2: formation energy (no corrections) -0.3846 eV per atom. Number 3: formation energy (no corrections) -3.1638 eV per atom. Number 4: formation energy (no corrections) -1.0960 eV per atom. Number 5: formation energy (no corrections) -1.4695 eV per atom. Number 6: formation energy (no corrections) -1.2228 eV per atom.